! Co2SiBi (PBE, relaxed); values from VASP
&SYSTEM
  ibrav = 0, nat = 8, ntyp = 3
/
ATOMIC_SPECIES
Co 58.93 Co.upf
Si 28.09 Si.upf
Bi 208.98 Bi.upf
CELL_PARAMETERS angstrom
-1.062 1.498 -3.967
3.946 -1.149 -1.490
-1.289 -6.759 -4.615
ATOMIC_POSITIONS crystal
Co 0.875 0.726 0.750
Co 0.476 0.125 0.250
Co 0.274 0.625 0.250
Si 0.500 0.500 0.000
Bi 0.750 0.250 0.500
Bi 0.000 0.000 0.000
Si 0.250 0.750 0.500
Co 0.375 0.524 0.750
! final energy = -5.520 eV/atom
! formation energy from raw total energies = 0.359 eV per atom
! symmetry = I-42d (122)